No. 1
The following is a PBE-GGA calculation of a geometry-optimized HfInI2O structure, from Alexandria via LeMat-Bulk.

Structure (POSCAR):
```
HfInI2O
1.0
5.989 0.000 0.000
0.000 5.989 0.000
0.000 0.000 3.995
Hf In I O
1 1 2 1
direct
0.000 0.000 0.000
0.500 0.500 0.500
0.000 0.500 0.000
0.500 0.000 0.000
0.000 0.000 0.500
```

Crystal system   tetragonal
Total energy   -5.260 eV/atom
Space-group type   P4/mmm, No. 123

---

No. 2
The following is a PBE-GGA calculation of a geometry-optimized RbHfInI6 structure, from Alexandria via LeMat-Bulk.

Structure (POSCAR):
```
RbHfInI6
1.0
8.392 0.000 0.000
-4.196 7.268 0.000
0.000 0.000 14.976
Rb Hf In I
2 2 2 12
direct
0.000 0.000 0.000
0.000 0.000 0.500
0.333 0.667 0.250
0.667 0.333 0.750
0.333 0.667 0.750
0.667 0.333 0.250
0.051 0.393 0.139
0.051 0.658 0.361
0.342 0.393 0.361
0.342 0.949 0.139
0.393 0.051 0.639
0.393 0.342 0.861
0.607 0.658 0.139
0.607 0.949 0.361
0.658 0.051 0.861
0.658 0.607 0.639
0.949 0.342 0.639
0.949 0.607 0.861
```

Crystal system   trigonal
Total energy   -3.493 eV/atom
Space-group type   P-31c, No. 163

---

No. 3
The following is a PBE-GGA calculation of a geometry-optimized Rb2HfInI6 structure, from Alexandria via LeMat-Bulk.

Structure (POSCAR):
```
Rb2HfInI6
1.0
4.173 2.409 16.705
-4.173 2.409 16.705
0.000 -4.818 16.705
Rb Hf In I
4 2 2 12
direct
0.141 0.141 0.141
0.310 0.310 0.310
0.690 0.690 0.690
0.859 0.859 0.859
0.000 0.000 0.000
0.500 0.500 0.500
0.418 0.418 0.418
0.582 0.582 0.582
0.139 0.630 0.630
0.196 0.196 0.710
0.196 0.710 0.196
0.290 0.804 0.804
0.370 0.370 0.861
0.370 0.861 0.370
0.630 0.139 0.630
0.630 0.630 0.139
0.710 0.196 0.196
0.804 0.290 0.804
0.804 0.804 0.290
0.861 0.370 0.370
```

Crystal system   trigonal
Total energy   -3.343 eV/atom
Space-group type   R-3m, No. 166

---

No. 4
The following is a PBE-GGA calculation of a geometry-optimized Rb2HfInI6 structure, from Alexandria via LeMat-Bulk.

Structure (POSCAR):
```
Rb2HfInI6
1.0
0.000 6.209 6.209
6.209 0.000 6.209
6.209 6.209 0.000
Rb Hf In I
2 1 1 6
direct
0.250 0.250 0.250
0.750 0.750 0.750
0.000 0.000 0.000
0.500 0.500 0.500
0.233 0.233 0.767
0.233 0.767 0.233
0.233 0.767 0.767
0.767 0.233 0.233
0.767 0.233 0.767
0.767 0.767 0.233
```

Crystal system   cubic
Total energy   -3.322 eV/atom
Space-group type   Fm-3m, No. 225

---

No. 5
The following is a PBE-GGA calculation of a geometry-optimized HfInTe2I structure, from Alexandria via LeMat-Bulk.

Structure (POSCAR):
```
HfInTe2I
1.0
5.627 0.000 0.000
0.000 5.627 0.000
0.000 0.000 5.562
Hf In Te I
1 1 2 1
direct
0.000 0.000 0.000
0.500 0.500 0.500
0.000 0.500 0.500
0.500 0.000 0.500
0.500 0.500 0.000
```

Crystal system   tetragonal
Total energy   -3.412 eV/atom
Space-group type   P4/mmm, No. 123

---

No. 6
The following is a PBE-GGA calculation of a geometry-optimized HfInTe2I structure, from Alexandria via LeMat-Bulk.

Structure (POSCAR):
```
HfInTe2I
1.0
5.612 0.000 0.000
0.000 5.612 0.000
0.000 0.000 5.782
Hf In Te I
1 1 2 1
direct
0.000 0.000 0.000
0.500 0.500 0.500
0.000 0.500 0.000
0.500 0.000 0.000
0.000 0.000 0.500
```

Crystal system   tetragonal
Total energy   -4.484 eV/atom
Space-group type   P4/mmm, No. 123

---

Result set for formation energy without anion corrections: -5.550, -8.474, -9.500, -9.289, 3.466, -1.896 eV per formula unit, one per record in the order listed.